(1)
This record from Alexandria describes a geometry-optimized CuAuO2 structure. The functional is GGA-PBE.

## Properties
final energy: -4.283 eV/atom
formation energy (no corrections): 0.039 eV per atom
total magnetic moment: 0.00 μB per cell
SG: I-42d, No. 122
Fermi-level density of states: 6.17 states/eV/cell

a = 5.183 Å, b = 5.183 Å, c = 5.432 Å
α = 61.51°, β = 61.51°, γ = 90.00°
Element x y z (fractional)
O 0.875 0.820 0.750
O 0.180 0.625 0.250
O 0.375 0.430 0.750
O 0.570 0.125 0.250
Cu 0.500 0.500 0.000
Cu 0.250 0.750 0.500
Au 0.750 0.250 0.500
Au 0.000 0.000 0.000

(2)
This record from Alexandria describes a geometry-optimized CuAuO structure. The functional is GGA-PBE.

## Properties
final energy: -4.194 eV/atom
formation energy (no corrections): -0.083 eV per atom
total magnetic moment: 0.00 μB per cell
SG: P4_2/mmc, No. 131
Fermi-level density of states: 6.23 states/eV/cell

a = 3.681 Å, b = 6.639 Å, c = 6.639 Å
α = 90.00°, β = 90.00°, γ = 90.00°
Element x y z (fractional)
Au 0.500 0.000 0.773
Au 0.000 0.773 0.000
Au 0.000 0.227 0.000
Au 0.500 0.000 0.227
O 0.500 0.744 0.500
O 0.500 0.256 0.500
O 0.000 0.500 0.256
O 0.000 0.500 0.744
Cu 0.500 0.500 0.220
Cu 0.500 0.500 0.780
Cu 0.000 0.220 0.500
Cu 0.000 0.780 0.500